Record 1
Crystalline AcCoH8Rh2 at its relaxed geometry, computed with PBE.

Summary:
**DOS(E_F)**: 0.409 states/eV/atom
**Raw total energy**: -4.62 eV/atom
**Space-group type**: R-3
**Density**: 7.66 g cm⁻³
**Size of the total moment**: 0.7 μB/f.u.

Unit cell a=6.3678 b=6.3678 c=6.3678 alpha=42.87 beta=42.87 gamma=42.87
Element x y z (fractional)
Ac  0.0000  0.0000  0.0000
Co  0.5000  0.5000  0.5000
H  0.1630  0.4159  0.7814
H  0.2185  0.8370  0.5841
H  0.3038  0.3038  0.3038
H  0.4159  0.7814  0.1630
H  0.5841  0.2186  0.8370
H  0.6962  0.6962  0.6962
H  0.7814  0.1630  0.4159
H  0.8370  0.5841  0.2186
Rh  0.2060  0.2060  0.2060
Rh  0.7940  0.7940  0.7940


Record 2
Crystalline Y2CdCl at its relaxed geometry, computed with PBE.

Summary:
**Formation energy (no corrections)**: -0.770 eV per atom
**DOS(E_F)**: 0.739 states/eV/atom
**Polymorph energy (0 for the lowest one)**: 24 meV/atom
**Space-group type**: P2/m
**Density**: 4.97 g cm⁻³
**Size of the total moment**: 0.0 μB/f.u.

Unit cell a=3.7776 b=3.5702 c=8.0738 alpha=90.00 beta=90.07 gamma=90.00
Element x y z (fractional)
Y  0.0005  0.0000  0.2308
Y  0.9995  0.0000  0.7692
Cd  0.5000  0.5000  0.0000
Cl  0.0000  0.5000  0.5000


Record 3
Crystalline Hg2BiCl at its relaxed geometry, computed with PBE.

Summary:
**Formation energy (no corrections)**: -0.096 eV per atom
**DOS(E_F)**: 0.525 states/eV/atom
**Polymorph energy (0 for the lowest one)**: 67 meV/atom
**Space-group type**: R-3m
**Density**: 8.96 g cm⁻³
**Size of the total moment**: 0.0 μB/f.u.

Unit cell a=7.6082 b=7.6082 c=7.6082 alpha=33.53 beta=33.53 gamma=33.53
Element x y z (fractional)
Hg  0.2458  0.2458  0.2458
Hg  0.7542  0.7542  0.7542
Bi  0.5000  0.5000  0.5000
Cl  0.0000  0.0000  0.0000


Record 4
Crystalline Tb2Nd4YMg at its relaxed geometry, computed with PBE.

Summary:
**DOS(E_F)**: 1.332 states/eV/atom
**DFT formation energy**: 0.01 eV/atom
**Space-group type**: P4/mmm
**Density**: 6.44 g cm⁻³
**Size of the total moment**: 0.0 μB/f.u.

Unit cell a=5.0897 b=5.0897 c=10.0351 alpha=90.00 beta=90.00 gamma=90.00
Element x y z (fractional)
Tb  0.0000  0.0000  0.0000
Tb  0.5000  0.5000  0.5000
Nd  0.0000  0.5000  0.2456
Nd  0.0000  0.5000  0.7544
Nd  0.5000  0.0000  0.2456
Nd  0.5000  0.0000  0.7544
Y  0.0000  0.0000  0.5000
Mg  0.5000  0.5000  0.0000


Record 5
Crystalline CuOs3O at its relaxed geometry, computed with PBE.

Summary:
**Formation energy (no corrections)**: 1.017 eV per atom
**DOS(E_F)**: 1.149 states/eV/atom
**Polymorph energy (0 for the lowest one)**: 0 meV/atom
**Space-group type**: Pm-3m
**Density**: 16.21 g cm⁻³
**Size of the total moment**: 0.9 μB/f.u.

Unit cell a=4.0538 b=4.0538 c=4.0538 alpha=90.00 beta=90.00 gamma=90.00
Element x y z (fractional)
Cu  0.0000  0.0000  0.0000
Os  0.0000  0.5000  0.5000
Os  0.5000  0.0000  0.5000
Os  0.5000  0.5000  0.0000
O  0.5000  0.5000  0.5000


Record 6
Crystalline Li2CoGe2 at its relaxed geometry, computed with PBE.

Summary:
**DOS(E_F)**: 0.580 states/eV/atom
**DFT formation energy**: 0.14 eV/atom
**Polymorph energy (0 for the lowest one)**: 371 meV/atom
**Space-group type**: P4/mbm
**Density**: 5.09 g cm⁻³
**Size of the total moment**: 1.7 μB/f.u.

Unit cell a=7.3670 b=7.3670 c=2.6241 alpha=90.00 beta=90.00 gamma=90.00
Element x y z (fractional)
Li  0.1114  0.3886  0.0000
Li  0.3886  0.8886  0.0000
Li  0.6114  0.1114  0.0000
Li  0.8886  0.6114  0.0000
Co  0.0000  0.0000  0.0000
Co  0.5000  0.5000  0.0000
Ge  0.1867  0.6867  0.5000
Ge  0.3133  0.1867  0.5000
Ge  0.6867  0.8133  0.5000
Ge  0.8133  0.3133  0.5000


Record 7
Crystalline NdAs2RhO8 at its relaxed geometry, computed with PBE.

Summary:
**Formation energy (no corrections)**: -1.481 eV per atom
**Space-group type**: P-3m1
**Density**: 4.94 g cm⁻³
**Size of the total moment**: 0.0 μB/f.u.

Unit cell a=5.4429 b=5.4429 c=6.8749 alpha=90.00 beta=90.00 gamma=120.00
Element x y z (fractional)
Nd  0.0000  0.0000  0.0000
As  0.3333  0.6667  0.2330
As  0.6667  0.3333  0.7670
Rh  0.0000  0.0000  0.5000
O  0.1560  0.3119  0.2936
O  0.1560  0.8440  0.2936
O  0.3119  0.1560  0.7064
O  0.3333  0.6667  0.9866
O  0.6667  0.3333  0.0134
O  0.6881  0.8440  0.2936
O  0.8440  0.1560  0.7064
O  0.8440  0.6881  0.7064


Record 8
Crystalline Cd5Hg3 at its relaxed geometry, computed with PBE.

Summary:
**DOS(E_F)**: 0.333 states/eV/atom
**DFT formation energy**: 0.04 eV/atom
**Polymorph energy (0 for the lowest one)**: 24 meV/atom
**Space-group type**: P6_3/mcm
**Density**: 9.87 g cm⁻³
**Size of the total moment**: 0.0 μB/f.u.

Unit cell a=8.9464 b=8.9464 c=5.6524 alpha=90.00 beta=90.00 gamma=120.00
Element x y z (fractional)
Cd  0.0000  0.2119  0.2500
Cd  0.0000  0.7881  0.7500
Cd  0.2119  0.0000  0.2500
Cd  0.2119  0.2119  0.7500
Cd  0.3333  0.6667  0.0000
Cd  0.3333  0.6667  0.5000
Cd  0.6667  0.3333  0.0000
Cd  0.6667  0.3333  0.5000
Cd  0.7881  0.0000  0.7500
Cd  0.7881  0.7881  0.2500
Hg  0.0000  0.3940  0.7500
Hg  0.0000  0.6060  0.2500
Hg  0.3940  0.0000  0.7500
Hg  0.3940  0.3940  0.2500
Hg  0.6060  0.0000  0.2500
Hg  0.6060  0.6060  0.7500


Record 9
Crystalline BeHgI2 at its relaxed geometry, computed with PBE.

Summary:
**Formation energy (no corrections)**: -0.263 eV per atom
**DOS(E_F)**: 0.000 states/eV/atom
**Polymorph energy (0 for the lowest one)**: 0 meV/atom
**Space-group type**: I-42d
**Density**: 5.25 g cm⁻³
**Size of the total moment**: 0.0 μB/f.u.

Unit cell a=7.3404 b=7.3404 c=7.3404 alpha=116.39 beta=116.39 gamma=96.38
Element x y z (fractional)
Be  0.0000  0.0000  0.0000
Be  0.7500  0.2500  0.5000
Hg  0.2500  0.7500  0.5000
Hg  0.5000  0.5000  0.0000
I  0.3750  0.2414  0.3664
I  0.7586  0.1250  0.1336
I  0.8750  0.0086  0.6336
I  0.9914  0.6250  0.8664


Record 10
Crystalline Li3H2Pt at its relaxed geometry, computed with PBE.

Summary:
**DOS(E_F)**: 0.213 states/eV/atom
**Raw total energy**: -3.39 eV/atom
**Space-group type**: Ibam
**Density**: 5.44 g cm⁻³
**Size of the total moment**: 0.0 μB/f.u.

Unit cell a=6.1439 b=6.1439 c=6.1439 alpha=134.67 beta=74.70 gamma=124.12
Element x y z (fractional)
Li  0.0346  0.7500  0.2846
Li  0.2500  0.2500  0.0000
Li  0.4654  0.7500  0.7154
Li  0.5346  0.2500  0.2846
Li  0.7500  0.7500  0.0000
Li  0.9654  0.2500  0.7154
H  0.1319  0.7409  0.8728
H  0.3681  0.2409  0.6090
H  0.6319  0.7591  0.3910
H  0.8681  0.2591  0.1272
Pt  0.0000  0.5000  0.5000
Pt  0.5000  0.0000  0.5000


Record 11
Crystalline TbY6Ho2 at its relaxed geometry, computed with PBE.

Summary:
**DOS(E_F)**: 1.492 states/eV/atom
**DFT formation energy**: 0.07 eV/atom
**Polymorph energy (0 for the lowest one)**: 0 meV/atom
**Space-group type**: C2/c
**Density**: 5.87 g cm⁻³
**Size of the total moment**: 0.0 μB/f.u.

Unit cell a=8.8932 b=8.8932 c=9.0362 alpha=115.80 beta=115.80 gamma=82.26
Element x y z (fractional)
Tb  0.0825  0.9175  0.7500
Tb  0.9175  0.0825  0.2500
Y  0.1146  0.2988  0.1329
Y  0.1965  0.4990  0.5941
Y  0.2988  0.1146  0.6329
Y  0.3066  0.5282  0.0133
Y  0.4718  0.6934  0.4867
Y  0.4990  0.1965  0.0941
Y  0.5010  0.8035  0.9059
Y  0.5282  0.3066  0.5133
Y  0.6934  0.4718  0.9867
Y  0.7012  0.8854  0.3671
Y  0.8035  0.5010  0.4059
Y  0.8854  0.7012  0.8671
Ho  0.0642  0.7206  0.3054
Ho  0.2794  0.9358  0.1946
Ho  0.7206  0.0642  0.8054
Ho  0.9358  0.2794  0.6946


Record 12
Crystalline Y2SiSe at its relaxed geometry, computed with PBE.

Summary:
**Formation energy (no corrections)**: -0.856 eV per atom
**DOS(E_F)**: 0.379 states/eV/atom
**Polymorph energy (0 for the lowest one)**: 489 meV/atom
**Space-group type**: I-4m2
**Density**: 5.05 g cm⁻³
**Size of the total moment**: 0.0 μB/f.u.

Unit cell a=6.2673 b=6.2673 c=6.2673 alpha=141.74 beta=141.74 gamma=55.22
Element x y z (fractional)
Y  0.0000  0.0000  0.0000
Y  0.7500  0.2500  0.5000
Si  0.5000  0.5000  0.0000
Se  0.2500  0.7500  0.5000